Here is a relaxed structure of Mg2TcSe from the Alexandria database. Energies are from PBE.

Calculated values
- Fermi-level density of states (states/eV/atom) = 0.88
- formation energy from raw total energies (eV per atom) = 0.073
- energy (eV/cell) = -16.7

Lattice parameters (Å, degrees): 5.038 5.038 2.953 90.00 90.00 111.83
Positions (direct):
Mg: 0.000 0.500 0.000
Mg: 0.500 0.000 0.000
Tc: 0.000 0.000 0.500
Se: 0.500 0.500 0.500